Entry 1:
Zr2Sc2SbAs | PBE | relaxed

Energy ... -43.49 eV per formula unit
ρ ... 6.04 Mg/m³

Unit cell a=8.3181 b=8.3181 c=8.3181 alpha=151.71 beta=151.71 gamma=40.44
Last column: nearest neighbours and their distance in Å.
Element x y z (fractional)
Sb: 0.8590 0.8590 0.0000  5 Sc 2.90-2.94, 4 Zr 3.05
Sc: 0.6730 0.6730 0.0000  1 Sb 2.90, 4 As 2.92
Sc: 0.3182 0.3182 0.0000  1 As 2.78, 4 Sb 2.94
Zr: 0.0050 0.5050 0.5000  4 Zr 2.88, 2 As 2.93, 2 Sb 3.05
Zr: 0.5050 0.0050 0.5000  4 Zr 2.88, 2 As 2.93, 2 Sb 3.05
As: 0.1399 0.1399 0.0000  5 Sc 2.78-2.92, 4 Zr 2.93


Entry 2:
SmSbAs | PBE | relaxed

Energy ... -14.23 eV per formula unit
ρ ... 6.34 Mg/m³

Unit cell a=5.0458 b=5.0458 c=5.0458 alpha=60.00 beta=60.00 gamma=60.00
Last column: nearest neighbours and their distance in Å.
Element x y z (fractional)
Sm: 0.7500 0.7500 0.7500  4 Sb 3.09
As: 0.2500 0.2500 0.2500  4 Sb 3.09
Sb: 0.0000 0.0000 0.0000  4 As 3.09, 4 Sm 3.09


Entry 3:
SmSbAs | PBE | relaxed

Energy ... -14.52 eV per formula unit
ρ ... 6.27 Mg/m³

Unit cell a=5.0666 b=5.0666 c=5.0666 alpha=60.00 beta=60.00 gamma=60.00
Last column: nearest neighbours and their distance in Å.
Element x y z (fractional)
Sb: 0.7500 0.7500 0.7500  4 Sm 3.10
As: 0.2500 0.2500 0.2500  4 Sm 3.10
Sm: 0.0000 0.0000 0.0000  4 Sb 3.10, 4 As 3.10